1.
Material: MgSiAsSe2
Method: DFT, PBE-GGA
State: relaxed

Geometry as POSCAR:
```
MgSiAsSe2
1.0
5.011 0.000 0.000
0.000 5.011 0.000
0.000 0.000 4.944
Mg Si As Se
1 1 1 2
Cartesian
0.000 0.000 0.000
2.505 2.505 2.472
0.000 0.000 2.472
0.000 2.505 0.000
2.505 0.000 0.000
```

D(E_F) = 4.81 states/eV per cell
symmetry = P4/mmm
excess energy over the best structure of this formula in the dataset = 0.4210 eV/atom
M_tot = 0.00 μB/atom



2.
Material: MgSiAs2Se
Method: DFT, PBE-GGA
State: relaxed

Geometry as POSCAR:
```
MgSiAs2Se
1.0
4.913 0.000 0.000
0.000 4.913 0.000
0.000 0.000 5.093
Mg Si As Se
1 1 2 1
Cartesian
0.000 0.000 0.000
2.456 2.456 2.546
0.000 2.456 0.000
2.456 0.000 0.000
0.000 0.000 2.546
```

D(E_F) = 3.78 states/eV per cell
symmetry = P4/mmm
excess energy over the best structure of this formula in the dataset = 0.4436 eV/atom
M_tot = 0.00 μB/atom



3.
Material: MgSiAsSe2
Method: DFT, PBE-GGA
State: relaxed

Geometry as POSCAR:
```
MgSiAsSe2
1.0
4.881 0.000 0.000
0.000 4.881 0.000
0.000 0.000 4.803
Mg Si As Se
1 1 1 2
Cartesian
0.000 0.000 0.000
2.441 2.441 2.402
2.441 2.441 0.000
0.000 2.441 2.402
2.441 0.000 2.402
```

D(E_F) = 5.59 states/eV per cell
symmetry = P4/mmm
excess energy over the best structure of this formula in the dataset = 0.0000 eV/atom
M_tot = 0.00 μB/atom



4.
Material: MgSiAs2Se
Method: DFT, PBE-GGA
State: relaxed

Geometry as POSCAR:
```
MgSiAs2Se
1.0
4.792 0.000 0.000
0.000 4.792 0.000
0.000 0.000 4.930
Mg Si As Se
1 1 2 1
Cartesian
0.000 0.000 0.000
2.396 2.396 2.465
0.000 2.396 2.465
2.396 0.000 2.465
2.396 2.396 0.000
```

D(E_F) = 5.48 states/eV per cell
symmetry = P4/mmm
excess energy over the best structure of this formula in the dataset = 0.0000 eV/atom
M_tot = 0.00 μB/atom